1.
Computed, not measured: Ho6Sb2Te3S after structural relaxation at the GGA-PBE level of DFT.

Output
E_form (uncorrected): -1.3469 eV/atom
Size of the total moment: 0.00 μB/f.u.

```
Ho6Sb2Te3S
1.0
9.406 -2.125 0.000
9.406 2.125 0.000
-2.071 0.000 8.346
Ho Sb Te S
6 2 3 1
Direct
0.000 0.000 0.213 Ho
0.000 0.000 0.787 Ho
0.334 0.334 0.424 Ho
0.353 0.353 0.923 Ho
0.647 0.647 0.077 Ho
0.666 0.666 0.576 Ho
0.166 0.166 0.330 Sb
0.834 0.834 0.670 Sb
0.171 0.171 0.837 Te
0.500 0.500 0.500 Te
0.829 0.829 0.163 Te
0.500 0.500 0.000 S
```



2.
Computed, not measured: NaLa2Pm after structural relaxation at the GGA-PBE level of DFT.

Output
Energy above the lowest structure with this stoichiometry: 0 meV per atom
ΔE_f: 0.337 eV per formula unit
Size of the total moment: 0.00 μB/f.u.

```
NaLa2Pm
1.0
1.848 1.067 12.461
-1.848 1.067 12.461
0.000 -2.134 12.461
Na La Pm
1 2 1
Direct
0.000 0.000 0.000 Na
0.421 0.421 0.421 La
0.579 0.579 0.579 La
0.833 0.833 0.833 Pm
```



3.
Computed, not measured: AcPm5Y3 after structural relaxation at the GGA-PBE level of DFT.

Output
Energy above the lowest structure with this stoichiometry: 406 meV per atom
ΔE_f: 4.292 eV per formula unit
Size of the total moment: 0.00 μB/f.u.

```
AcPm5Y3
1.0
7.798 -5.828 0.000
7.798 5.828 0.000
-6.469 0.000 7.826
Ac Pm Y
2 10 6
Direct
0.250 0.250 0.084 Ac
0.750 0.750 0.916 Ac
0.107 0.611 0.751 Pm
0.231 0.231 0.727 Pm
0.245 0.755 0.500 Pm
0.274 0.274 0.450 Pm
0.389 0.893 0.249 Pm
0.611 0.107 0.751 Pm
0.726 0.726 0.550 Pm
0.755 0.245 0.500 Pm
0.769 0.769 0.273 Pm
0.893 0.389 0.249 Pm
0.000 0.000 0.000 Y
0.006 0.006 0.326 Y
0.490 0.490 0.148 Y
0.500 0.500 0.500 Y
0.510 0.510 0.852 Y
0.994 0.994 0.674 Y
```



4.
Computed, not measured: CaSc2ZnHg4 after structural relaxation at the GGA-PBE level of DFT.

Output
ΔE_f: -2.456 eV per formula unit
Size of the total moment: 0.00 μB/f.u.

```
CaSc2ZnHg4
1.0
2.486 1.436 8.316
-2.486 1.436 8.316
0.000 -2.871 8.316
Ca Sc Zn Hg
1 2 1 4
Direct
0.000 0.000 0.000 Ca
0.244 0.244 0.244 Sc
0.756 0.756 0.756 Sc
0.500 0.500 0.500 Zn
0.125 0.125 0.125 Hg
0.379 0.379 0.379 Hg
0.621 0.621 0.621 Hg
0.875 0.875 0.875 Hg
```



5.
Computed, not measured: FeSb4Pd after structural relaxation at the GGA-PBE level of DFT.

Output
E_form (uncorrected): -0.1225 eV/atom
Size of the total moment: 0.00 μB/f.u.

```
FeSb4Pd
1.0
6.361 0.000 0.000
0.000 6.462 0.000
-0.535 0.000 6.462
Fe Sb Pd
2 8 2
Direct
0.000 0.000 0.000 Fe
0.000 0.500 0.500 Fe
0.096 0.143 0.653 Sb
0.096 0.357 0.153 Sb
0.363 0.628 0.611 Sb
0.363 0.872 0.111 Sb
0.637 0.128 0.889 Sb
0.637 0.372 0.389 Sb
0.904 0.643 0.847 Sb
0.904 0.857 0.347 Sb
0.500 0.000 0.500 Pd
0.500 0.500 0.000 Pd
```



Number 1: DOS at the Fermi energy 2.93 states/eV per cell. Number 2: DOS at the Fermi energy 5.35 states/eV per cell. Number 3: DOS at the Fermi energy 29.80 states/eV per cell. Number 4: DOS at the Fermi energy 4.60 states/eV per cell. Number 5: DOS at the Fermi energy 6.06 states/eV per cell.